Entry 1:
An optimized crystal structure of Cr3PbCl, computed with GGA-PBE.

a b c (Å): 5.306 5.306 5.306
angles (deg): 90.00 90.00 90.00
Each line ends with the local moment (μB).
Atoms (fractional coordinates):
Pb1 0.000 0.000 0.000  -0.23
Cr1 0.000 0.500 0.000  3.94
Cr2 0.000 0.000 0.500  4.15
Cr3 0.500 0.000 0.000  3.68
Cl1 0.500 0.500 0.500  0.04

Symmetry: Pm-3m
Formation energy from raw total energies in eV/atom: 1.1684
E above lowest polymorph in meV/atom: 276.9
Calculated density in g/cm³: 4.43

Entry 2:
An optimized crystal structure of CrPb2Cl, computed with GGA-PBE.

a b c (Å): 8.067 5.500 3.303
angles (deg): 84.39 73.97 130.58
Each line ends with the local moment (μB).
Atoms (fractional coordinates):
Pb1 0.000 0.000 0.000  -0.06
Pb2 0.500 0.000 0.500  -0.06
Cr1 0.500 0.500 0.000  3.72
Cl1 0.000 0.500 0.500  0.00

Symmetry: C2/m
Formation energy from raw total energies in eV/atom: 0.0930
E above lowest polymorph in meV/atom: 172.2
Calculated density in g/cm³: 8.42

Entry 3:
An optimized crystal structure of CrPbCl, computed with GGA-PBE.

a b c (Å): 7.505 7.505 7.505
angles (deg): 154.79 154.79 35.96
Each line ends with the local moment (μB).
Atoms (fractional coordinates):
Pb1 0.300 0.300 0.000  -0.04
Cr1 0.647 0.647 0.000  3.83
Cl1 0.053 0.053 0.000  0.03

Symmetry: I4mm
Formation energy from raw total energies in eV/atom: -0.0126
E above lowest polymorph in meV/atom: 79.3
Calculated density in g/cm³: 6.38

Entry 4:
An optimized crystal structure of CrPbCl5, computed with GGA-PBE.

a b c (Å): 6.810 6.810 9.817
angles (deg): 107.11 107.11 112.38
Each line ends with the local moment (μB).
Atoms (fractional coordinates):
Cr1 0.000 0.000 0.000  2.83
Cr2 0.500 0.500 0.500  2.83
Pb1 0.868 0.632 0.250  0.02
Pb2 0.132 0.368 0.750  0.02
Cl1 0.662 0.797 0.036  -0.02
Cl2 0.683 0.322 0.389  0.00
Cl3 0.297 0.162 0.536  -0.02
Cl4 0.162 0.338 0.250  -0.04
Cl5 0.178 0.817 0.111  0.00
Cl6 0.822 0.183 0.889  0.00
Cl7 0.838 0.662 0.750  -0.04
Cl8 0.703 0.838 0.464  -0.02
Cl9 0.317 0.678 0.611  0.00
Cl10 0.338 0.203 0.964  -0.02

Symmetry: C2/c
Formation energy from raw total energies in eV/atom: -1.0713
Calculated density in g/cm³: 4.06

Entry 5:
An optimized crystal structure of CrPb3Cl, computed with GGA-PBE.

a b c (Å): 5.511 5.511 5.511
angles (deg): 90.00 90.00 90.00
Each line ends with the local moment (μB).
Atoms (fractional coordinates):
Pb1 0.000 0.500 0.000  -0.01
Pb2 0.000 0.000 0.500  0.02
Pb3 0.500 0.000 0.000  -0.02
Cr1 0.500 0.500 0.500  4.17
Cl1 0.000 0.000 0.000  0.01

Symmetry: Pm-3m
Formation energy from raw total energies in eV/atom: 0.6448
E above lowest polymorph in meV/atom: 612.3
Calculated density in g/cm³: 7.04

Entry 6:
An optimized crystal structure of CrPb2Cl, computed with GGA-PBE.

a b c (Å): 9.273 9.273 9.273
angles (deg): 22.70 22.70 22.70
Each line ends with the local moment (μB).
Atoms (fractional coordinates):
Pb1 0.004 0.004 0.004  0.03
Pb2 0.496 0.496 0.496  0.03
Cr1 0.750 0.750 0.750  3.81
Cl1 0.250 0.250 0.250  0.03

Symmetry: R-3m
Formation energy from raw total energies in eV/atom: 0.1569
E above lowest polymorph in meV/atom: 236.1
Calculated density in g/cm³: 8.00

Entry 7:
An optimized crystal structure of CrPbCl, computed with GGA-PBE.

a b c (Å): 4.796 4.796 4.796
angles (deg): 60.00 60.00 60.00
Each line ends with the local moment (μB).
Atoms (fractional coordinates):
Pb1 0.000 0.000 0.000  -0.01
Cr1 0.250 0.250 0.250  3.79
Cl1 0.500 0.500 0.500  0.06

Symmetry: F-43m
Formation energy from raw total energies in eV/atom: 0.4022
E above lowest polymorph in meV/atom: 494.1
Calculated density in g/cm³: 6.27

Entry 8:
An optimized crystal structure of CrPb2Cl, computed with GGA-PBE.

a b c (Å): 4.421 4.421 11.892
angles (deg): 79.29 79.29 90.00
Each line ends with the local moment (μB).
Atoms (fractional coordinates):
Pb1 0.628 0.125 0.250  -0.01
Pb2 0.122 0.625 0.250  -0.01
Pb3 0.375 0.372 0.750  -0.01
Pb4 0.875 0.878 0.750  -0.01
Cr1 0.000 0.000 0.000  4.13
Cr2 0.750 0.250 0.500  4.13
Cl1 0.500 0.500 0.000  0.01
Cl2 0.250 0.750 0.500  0.01

Symmetry: I-42d
Formation energy from raw total energies in eV/atom: 0.3291
E above lowest polymorph in meV/atom: 408.4
Calculated density in g/cm³: 7.43